Below is a relaxed structure of LiDyGa2Au5, with properties calculated at the PBE-GGA level.

VASP energy = -3.644 eV/atom
calculated volume = 20.3 Å³ per atom
size of the total moment = 0.00 μB/cell
density = 11.75 g/cm³

Structure (CIF):
```
data_LiDyGa2Au5
_chemical_formula_sum 'Li1 Dy1 Ga2 Au5'
_symmetry_space_group_name_H-M 'P 4/m m m'
_symmetry_Int_Tables_number 123
_symmetry_space_group_name_Hall '-P 4 2'
_cell_length_a 4.511
_cell_length_b 4.511
_cell_length_c 8.984
_cell_angle_alpha 90.00
_cell_angle_beta 90.00
_cell_angle_gamma 90.00
loop_
_atom_site_label
_atom_site_type_symbol
_atom_site_fract_x
_atom_site_fract_y
_atom_site_fract_z
_atom_site_occupancy
Li1 Li 0.000 0.000 0.000 1
Dy1 Dy 0.000 0.000 0.500 1
Ga1 Ga 0.500 0.500 0.136 1
Au1 Au 0.000 0.500 0.276 1
Au2 Au 0.500 0.500 0.500 1
```

Below is a relaxed structure of Nd3HoCd2, with properties calculated at the PBE-GGA level.

VASP energy = -3.642 eV/atom
energy above the most stable polymorph in this dataset = 0 meV per atom
calculated volume = 30.3 Å³ per atom
size of the total moment = 0.27 μB/cell
density = 7.51 g/cm³

Structure (CIF):
```
data_Nd3HoCd2
_chemical_formula_sum 'Nd3 Ho1 Cd2'
_symmetry_space_group_name_H-M 'P 4/m m m'
_symmetry_Int_Tables_number 123
_symmetry_space_group_name_Hall '-P 4 2'
_cell_length_a 3.773
_cell_length_b 3.773
_cell_length_c 12.781
_cell_angle_alpha 90.00
_cell_angle_beta 90.00
_cell_angle_gamma 90.00
loop_
_atom_site_label
_atom_site_type_symbol
_atom_site_fract_x
_atom_site_fract_y
_atom_site_fract_z
_atom_site_occupancy
Nd1 Nd 0.000 0.000 0.000 1
Nd2 Nd 0.000 0.000 0.311 1
Ho1 Ho 0.500 0.500 0.500 1
Cd1 Cd 0.500 0.500 0.157 1
```

Below is a relaxed structure of CoTcRh2, with properties calculated at the PBE-GGA level.

VASP energy = -8.063 eV/atom
energy above the most stable polymorph in this dataset = 0 meV per atom
calculated volume = 13.5 Å³ per atom
size of the total moment = 2.33 μB/cell
density = 11.12 g/cm³

Structure (CIF):
```
data_CoTcRh2
_chemical_formula_sum 'Co1 Tc1 Rh2'
_symmetry_space_group_name_H-M 'P 4/m m m'
_symmetry_Int_Tables_number 123
_symmetry_space_group_name_Hall '-P 4 2'
_cell_length_a 2.698
_cell_length_b 2.698
_cell_length_c 7.445
_cell_angle_alpha 90.00
_cell_angle_beta 90.00
_cell_angle_gamma 90.00
loop_
_atom_site_label
_atom_site_type_symbol
_atom_site_fract_x
_atom_site_fract_y
_atom_site_fract_z
_atom_site_occupancy
Co1 Co 0.000 0.000 0.000 1
Tc1 Tc 0.000 0.000 0.500 1
Rh1 Rh 0.500 0.500 0.242 1
```

Below is a relaxed structure of Tm2Cd3Pb, with properties calculated at the PBE-GGA level.

VASP energy = -2.800 eV/atom
calculated volume = 25.1 Å³ per atom
size of the total moment = 0.00 μB/cell
density = 9.73 g/cm³

Structure (CIF):
```
data_Tm2Cd3Pb
_chemical_formula_sum 'Tm8 Cd12 Pb4'
_symmetry_space_group_name_H-M 'C 1 2/m 1'
_symmetry_Int_Tables_number 12
_symmetry_space_group_name_Hall '-C 2y'
_cell_length_a 16.445
_cell_length_b 4.764
_cell_length_c 8.905
_cell_angle_alpha 90.00
_cell_angle_beta 120.26
_cell_angle_gamma 90.00
loop_
_atom_site_label
_atom_site_type_symbol
_atom_site_fract_x
_atom_site_fract_y
_atom_site_fract_z
_atom_site_occupancy
Tm1 Tm 0.062 0.000 0.396 1
Tm2 Tm 0.239 0.000 0.836 1
Cd1 Cd 0.071 0.500 0.182 1
Cd2 Cd 0.107 0.000 0.031 1
Cd3 Cd 0.230 0.500 0.567 1
Pb1 Pb 0.092 0.500 0.722 1
```